[1]
## K2UZnSe5 (GGA-PBE)

Data for K2UZnSe5 after structural relaxation.

a b c (Å): 10.0068 10.0068 14.0694
angles (deg): 90.00 90.00 156.22
Sites, in units of the cell vectors:
K 0.1133 0.8867 0.5000
K 0.1223 0.8777 0.1403
K 0.8777 0.1223 0.6403
K 0.8867 0.1133 0.0000
U 0.2053 0.7947 0.8384
U 0.7947 0.2053 0.3384
Zn 0.4303 0.5697 0.2478
Zn 0.5697 0.4303 0.7478
Se 0.0663 0.9337 0.8533
Se 0.2924 0.7076 0.4682
Se 0.3011 0.6989 0.2042
Se 0.3369 0.6631 0.8243
Se 0.4939 0.5061 0.1054
Se 0.5061 0.4939 0.6054
Se 0.6631 0.3369 0.3243
Se 0.6989 0.3011 0.7042
Se 0.7076 0.2924 0.9682
Se 0.9337 0.0663 0.3533

volume = 568 Å³ per cell
magnetic moment = 0.079 μB/atom
formation energy (no corrections) = -0.985 eV per atom
DOS(E_F) = 3.17 states/eV/f.u.

=====

[2]
## K4U3ZnSe8 (GGA-PBE)

Data for K4U3ZnSe8 after structural relaxation.

a b c (Å): 9.0693 9.0693 9.0693
angles (deg): 55.38 55.38 55.38
Sites, in units of the cell vectors:
K 0.0000 0.0000 0.0000
K 0.0000 0.5000 0.5000
K 0.5000 0.0000 0.5000
K 0.5000 0.5000 0.0000
U 0.0000 0.0000 0.5000
U 0.0000 0.5000 0.0000
U 0.5000 0.0000 0.0000
Zn 0.5000 0.5000 0.5000
Se 0.2364 0.2364 0.2364
Se 0.2388 0.7301 0.7301
Se 0.2699 0.2699 0.7612
Se 0.2699 0.7612 0.2699
Se 0.7301 0.2388 0.7301
Se 0.7301 0.7301 0.2388
Se 0.7612 0.2699 0.2699
Se 0.7636 0.7636 0.7636

volume = 471 Å³ per cell
magnetic moment = 0.494 μB/atom
formation energy (no corrections) = -1.133 eV per atom
DOS(E_F) = 16.65 states/eV/f.u.

=====

[3]
## K3U3ZnSe8 (GGA-PBE)

Data for K3U3ZnSe8 after structural relaxation.

a b c (Å): 8.2568 8.2568 9.1744
angles (deg): 116.71 116.71 60.06
Sites, in units of the cell vectors:
K 0.0000 0.0000 0.0000
K 0.0000 0.5000 0.0000
K 0.5000 0.0000 0.0000
U 0.0000 0.5000 0.5000
U 0.5000 0.0000 0.5000
U 0.5000 0.5000 0.5000
Zn 0.0000 0.0000 0.5000
Se 0.2275 0.2275 0.6946
Se 0.2289 0.7380 0.6956
Se 0.2620 0.7711 0.3044
Se 0.2638 0.2638 0.2915
Se 0.7362 0.7362 0.7085
Se 0.7380 0.2289 0.6956
Se 0.7711 0.2620 0.3044
Se 0.7725 0.7725 0.3054

volume = 463 Å³ per cell
magnetic moment = 0.467 μB/atom
formation energy (no corrections) = -1.120 eV per atom
DOS(E_F) = 14.30 states/eV/f.u.

=====

[4]
## K2ZrUSe4 (GGA-PBE)

Data for K2ZrUSe4 after structural relaxation.

a b c (Å): 7.0066 4.0618 8.1521
angles (deg): 90.00 106.62 90.00
Sites, in units of the cell vectors:
K 0.0000 0.0000 0.0000
K 0.5000 0.5000 0.0000
Zr 0.0000 0.5000 0.5000
U 0.5000 0.0000 0.5000
Se 0.2247 0.0000 0.7039
Se 0.2522 0.5000 0.2903
Se 0.7478 0.5000 0.7097
Se 0.7753 0.0000 0.2961

volume = 222 Å³ per cell
magnetic moment = 0.437 μB/atom
formation energy (no corrections) = -1.280 eV per atom
DOS(E_F) = 4.71 states/eV/f.u.

=====

[5]
## K4Zr3USe8 (GGA-PBE)

Data for K4Zr3USe8 after structural relaxation.

a b c (Å): 9.0694 9.0694 9.0694
angles (deg): 52.02 52.02 52.02
Sites, in units of the cell vectors:
K 0.0000 0.0000 0.0000
K 0.0000 0.5000 0.5000
K 0.5000 0.0000 0.5000
K 0.5000 0.5000 0.0000
Zr 0.0000 0.0000 0.5000
Zr 0.0000 0.5000 0.0000
Zr 0.5000 0.0000 0.0000
U 0.5000 0.5000 0.5000
Se 0.2255 0.7405 0.7405
Se 0.2342 0.2342 0.2342
Se 0.2595 0.2595 0.7745
Se 0.2595 0.7745 0.2595
Se 0.7405 0.2255 0.7405
Se 0.7405 0.7405 0.2255
Se 0.7658 0.7658 0.7658
Se 0.7745 0.2595 0.2595

volume = 428 Å³ per cell
magnetic moment = 0.179 μB/atom
formation energy (no corrections) = -1.308 eV per atom
DOS(E_F) = 7.57 states/eV/f.u.

=====

[6]
## KV2Se3 (GGA-PBE)

Data for KV2Se3 after structural relaxation.

a b c (Å): 8.0214 8.0214 9.6037
angles (deg): 90.00 90.00 153.28
Sites, in units of the cell vectors:
K 0.2472 0.7528 0.7500
K 0.7528 0.2472 0.2500
V 0.0000 0.0000 0.0000
V 0.0000 0.0000 0.5000
V 0.4739 0.5261 0.2500
V 0.5261 0.4739 0.7500
Se 0.0750 0.9250 0.2500
Se 0.3856 0.6144 0.0481
Se 0.3856 0.6144 0.4519
Se 0.6144 0.3856 0.5481
Se 0.6144 0.3856 0.9519
Se 0.9250 0.0750 0.7500

volume = 278 Å³ per cell
magnetic moment = 0.068 μB/atom
formation energy (no corrections) = -0.824 eV per atom
DOS(E_F) = 4.29 states/eV/f.u.

=====

Which of these has the lowest volume?
K2ZrUSe4

=====

Which of these has the highest magnetic moment?
K4U3ZnSe8